# MnCr8 (PBE, optimized geometry)
# Volume, Å³/atom: 11.47
# VASP energy, eV/atom: -9.568
data_MnCr8
_space_group_name_H-M_alt 'I 4/m m m'
_space_group_IT_number 139
_space_group_name_Hall '-I 4 2'
_cell_length_a 8.5111
_cell_length_b 8.5111
_cell_length_c 2.8504
_cell_angle_alpha 90.00
_cell_angle_beta 90.00
_cell_angle_gamma 90.00
loop_
_atom_site_label
_atom_site_fract_x
_atom_site_fract_y
_atom_site_fract_z
Mn1 0.0000 0.0000 0.0000
Cr1 0.0000 0.3325 0.0000
Cr2 0.1668 0.1668 0.5000

=====

# Mn2Cr5 (PBE, optimized geometry)
# Volume, Å³/atom: 11.98
# VASP energy, eV/atom: -9.042
data_Mn2Cr5
_space_group_name_H-M_alt 'P b a m'
_space_group_IT_number 55
_cell_length_a 8.1091
_cell_length_b 8.2796
_cell_length_c 2.4989
_cell_angle_alpha 90.00
_cell_angle_beta 90.00
_cell_angle_gamma 90.00
loop_
_space_group_symop_operation_xyz
'x,y,z'
'-x,-y,-z'
'-x,-y,z'
'x,y,-z'
'x+1/2,-y+1/2,-z'
'-x+1/2,y+1/2,z'
'-x+1/2,y+1/2,-z'
'x+1/2,-y+1/2,z'
loop_
_atom_site_label
_atom_site_fract_x
_atom_site_fract_y
_atom_site_fract_z
Mn1 0.1726 0.1858 0.0000
Cr1 0.0000 0.0000 0.5000
Cr2 0.0789 0.7278 0.5000
Cr3 0.1688 0.4538 0.5000